A relaxed BaGe3Mo crystal, computed with GGA-PBEsol.

Spin magnetization: 0.000 Bohr magnetons per cell
Energy relative to the elements: -0.204 eV per atom

Structure (CIF):
```
data_BaGe3Mo
_chemical_formula_sum 'Ba1 Ge3 Mo1'
_space_group_name_H-M_alt 'P 1'
_space_group_IT_number 1
_cell_length_a 4.9045
_cell_length_b 4.9045
_cell_length_c 4.9045
_cell_angle_alpha 90.00
_cell_angle_beta 90.00
_cell_angle_gamma 90.00
loop_
_space_group_symop_operation_xyz
'x,y,z'
loop_
_atom_site_label
_atom_site_type_symbol
_atom_site_fract_x
_atom_site_fract_y
_atom_site_fract_z
Ba1 Ba 0.0000 0.0000 0.0000
Ge1 Ge 0.0000 0.5000 0.5000
Ge2 Ge 0.5000 0.0000 0.5000
Ge3 Ge 0.5000 0.5000 0.0000
Mo1 Mo 0.5000 0.5000 0.5000
```